Record 1
DyLuZnCr after structural relaxation, computed with GGA-PBE.

The value obtained for the electronic total energy is -5.00 eV per atom.

The space group is F-43m (No. 216) and the conventional cell measures 7.059, 7.059 and 7.059 Å, with angles of 90.00, 90.00 and 90.00 degrees. The asymmetric unit holds Dy at (0.000, 0.000, 0.000), Lu at (0.000, 0.000, 0.500), Zn at (0.250, 0.250, 0.250) and Cr at (0.250, 0.250, 0.750).

Record 2
Dy2MgCr after structural relaxation, computed with GGA-PBE.

The energy above the most stable polymorph in this dataset comes out at 9 meV per atom. The value obtained for the electronic total energy is -4.97 eV per atom.

The space group is Fm-3m (No. 225) and the conventional cell measures 7.338, 7.338 and 7.338 Å, with angles of 90.00, 90.00 and 90.00 degrees. The asymmetric unit holds Dy at (0.250, 0.250, 0.250), Mg at (0.000, 0.000, 0.000) and Cr at (0.000, 0.000, 0.500).

Record 3
Dy2MgCr after structural relaxation, computed with GGA-PBE.

The energy above the most stable polymorph in this dataset comes out at 0 meV per atom. The value obtained for the electronic total energy is -4.98 eV per atom.

The space group is P4/mmm (No. 123) and the conventional cell measures 3.577, 3.577 and 7.857 Å, with angles of 90.00, 90.00 and 90.00 degrees. The asymmetric unit holds Dy at (0.000, 0.000, 0.219), Mg at (0.500, 0.500, 0.500) and Cr at (0.500, 0.500, 0.000).

Record 4
DyMg2Cr3S8 after structural relaxation, computed with GGA-PBE.

The calculation puts the raw formation energy at -1.1100 eV per atom. The value obtained for the electronic total energy is -6.09 eV per atom.

The space group is R-3m (No. 166, hexagonal axes) and the conventional cell measures 7.3544, 7.3544 and 18.2392 Å, with angles of 90.00, 90.00 and 120.00 degrees. The asymmetric unit holds Dy at (0.0000, 0.0000, 0.0000), Mg at (0.0000, 0.0000, 0.3761), Cr at (0.0000, 0.5000, 0.5000), S at (0.0000, 0.0000, 0.2368) and S at (0.0166, 0.5083, 0.7634).

Record 5
DyMgCrS4 after structural relaxation, computed with GGA-PBE.

The calculation puts the raw formation energy at -1.3349 eV per atom. The value obtained for the electronic total energy is -5.95 eV per atom.

The space group is Imma (No. 74) and the conventional cell measures 7.500, 7.641 and 10.676 Å, with angles of 90.00, 90.00 and 90.00 degrees. The asymmetric unit holds Dy at (0.000, 0.000, 0.000), Mg at (0.000, 0.250, 0.378), Cr at (0.250, 0.250, 0.750), S at (0.000, 0.034, 0.745) and S at (0.249, 0.250, 0.979).

Record 6
Dy3Mg2CrS8 after structural relaxation, computed with GGA-PBE.

The calculation puts the raw formation energy at -1.5937 eV per atom. The value obtained for the electronic total energy is -5.85 eV per atom.

The space group is R-3m (No. 166, hexagonal axes) and the conventional cell measures 7.7796, 7.7796 and 18.7460 Å, with angles of 90.00, 90.00 and 120.00 degrees. The asymmetric unit holds Dy at (0.0000, 0.5000, 0.0000), Mg at (0.0000, 0.0000, 0.1258), Cr at (0.0000, 0.0000, 0.5000), S at (0.0000, 0.0000, 0.2548) and S at (0.0274, 0.5137, 0.2437).

Record 7
SmDyMgCr after structural relaxation, computed with GGA-PBE.

The value obtained for the electronic total energy is -4.99 eV per atom.

The space group is F-43m (No. 216) and the conventional cell measures 7.415, 7.415 and 7.415 Å, with angles of 90.00, 90.00 and 90.00 degrees. The asymmetric unit holds Sm at (0.000, 0.000, 0.000), Dy at (0.000, 0.000, 0.500), Mg at (0.250, 0.250, 0.250) and Cr at (0.250, 0.250, 0.750).

Record 8
DyTmMgCr after structural relaxation, computed with GGA-PBE.

The value obtained for the electronic total energy is -4.94 eV per atom.

The space group is F-43m (No. 216) and the conventional cell measures 7.291, 7.291 and 7.291 Å, with angles of 90.00, 90.00 and 90.00 degrees. The asymmetric unit holds Dy at (0.000, 0.000, 0.000), Tm at (0.000, 0.000, 0.500), Mg at (0.250, 0.250, 0.250) and Cr at (0.250, 0.250, 0.750).